1.
# Dy4B3Rh12Pb PBE optimized geometry
data_Dy4B3Rh12Pb
_cell_length_a 7.5914
_cell_length_b 7.5914
_cell_length_c 7.5914
_cell_angle_alpha 109.47
_cell_angle_beta 109.47
_cell_angle_gamma 109.47
_symmetry_space_group_name_H-M 'P 1'
_symmetry_Int_Tables_number 1
_symmetry_space_group_name_Hall 'P 1'
loop_
_atom_site_label
_atom_site_fract_x
_atom_site_fract_y
_atom_site_fract_z
Dy1 0.0000 0.5000 0.0000
Dy2 0.5000 0.0000 0.0000
Dy3 0.0000 0.0000 0.5000
Dy4 0.5000 0.5000 0.5000
Pb1 0.0000 0.0000 0.0000
Rh1 0.2500 0.5000 0.7500
Rh2 0.7175 0.0000 0.7175
Rh3 0.7500 0.5000 0.2500
Rh4 0.7500 0.2500 0.5000
Rh5 0.2500 0.7500 0.5000
Rh6 0.5000 0.2500 0.7500
Rh7 0.5000 0.7500 0.2500
Rh8 0.0000 0.7175 0.7175
Rh9 0.2825 0.0000 0.2825
Rh10 0.7175 0.7175 0.0000
Rh11 0.0000 0.2825 0.2825
Rh12 0.2825 0.2825 0.0000
B1 0.0000 0.5000 0.5000
B2 0.5000 0.5000 0.0000
B3 0.5000 0.0000 0.5000
# - formation enthalpy at 0 K (kJ per mole of atoms) = -47
# - E_tot (eV/atom) = -7.009
# - D(E_F) (states/eV/cell) = 15.51

---

2.
# Te2C2F PBE optimized geometry
data_Te2C2F
_cell_length_a 3.8352
_cell_length_b 3.8352
_cell_length_c 6.3869
_cell_angle_alpha 72.53
_cell_angle_beta 72.53
_cell_angle_gamma 90.00
_symmetry_space_group_name_H-M 'P 1'
_symmetry_Int_Tables_number 1
_symmetry_space_group_name_Hall 'P 1'
loop_
_atom_site_label
_atom_site_fract_x
_atom_site_fract_y
_atom_site_fract_z
Te1 0.6498 0.6498 0.7004
Te2 0.3502 0.3502 0.2996
F1 0.0000 0.0000 0.0000
C1 0.2500 0.7500 0.5000
C2 0.7500 0.2500 0.5000
# - uncorrected formation energy (meV per atom) = 746
# - E_tot (eV/atom) = -4.575
# - relative energy among the computed polymorphs (meV per atom) = 0
# - D(E_F) (states/eV/cell) = 1.52